This record from the Alexandria database describes a geometry-optimized BaPb4S5 structure. The functional is PBE.

The value obtained for the formation energy (no corrections) is -0.84 eV/atom.

a = 4.3022 Å, b = 6.1006 Å, c = 11.4138 Å
α = 105.50°, β = 100.86°, γ = 90.00°
Fractional positions:
Ba1 0.0000 0.0000 0.0000
Pb1 0.3977 0.3977 0.7955
Pb2 0.7979 0.7979 0.5958
Pb3 0.2021 0.2021 0.4042
Pb4 0.6023 0.6023 0.2045
S1 0.6068 0.1068 0.2135
S2 0.8021 0.3021 0.6041
S3 0.1979 0.6979 0.3959
S4 0.0000 0.5000 0.0000
S5 0.3932 0.8932 0.7865